# 1
Compound: Ac2Pd3Pb5
Source: Alexandria via LeMat-Bulk
Functional: GGA-PBE
Structure: relaxed

## Properties
- excess energy over the best structure of this formula in the dataset (meV per atom) = 30
- energy of formation (meV/atom) = -477
- space-group type = Ibam, No. 72

```
Ac2Pd3Pb5
1.0
-5.7776 6.8144 3.4447
5.7776 -6.8144 3.4447
5.7776 6.8144 -3.4447
Ac Pd Pb
4 6 10
Cartesian
2.7278 1.9569 0.0000 Ac
2.7278 -1.9569 3.4447 Ac
3.0497 8.7713 0.0000 Ac
3.0497 4.8576 3.4447 Ac
4.4339 -4.9009 3.4447 Pd
5.7776 0.0000 1.7223 Pd
4.4339 4.9009 0.0000 Pd
1.3437 1.9135 3.4447 Pd
0.0000 6.8144 1.7223 Pd
1.3437 11.7153 0.0000 Pd
5.7776 -3.1558 1.7223 Pb
7.6128 1.2177 0.0000 Pb
0.0000 0.0000 1.7223 Pb
1.8353 5.5967 0.0000 Pb
5.7776 3.1558 1.7223 Pb
0.0000 3.6586 1.7223 Pb
3.9423 1.2177 3.4447 Pb
0.0000 0.0000 5.1670 Pb
-1.8353 5.5967 3.4447 Pb
0.0000 9.9702 1.7223 Pb
```

=====

# 2
Compound: ThCuSi
Source: Alexandria via LeMat-Bulk
Functional: GGA-PBE
Structure: relaxed

## Properties
- ΔE_f (raw) (kJ per mole of atoms) = -61.6
- space-group type = P-6m2, No. 187

```
ThCuSi
1.0
4.1187 0.0000 0.0000
-2.0594 3.5669 0.0000
0.0000 0.0000 4.1378
Th Cu Si
1 1 1
Cartesian
0.0000 0.0000 0.0000 Th
0.0000 2.3779 2.0689 Cu
2.0594 1.1890 2.0689 Si
```

=====

# 3
Compound: LiGa4Sb
Source: Alexandria via LeMat-Bulk
Functional: GGA-PBE
Structure: relaxed

## Properties
- ΔE_f (raw) (kJ per mole of atoms) = -1.6
- space-group type = F-43m, No. 216

```
LiGa4Sb
1.0
0.0000 3.9848 3.9848
3.9848 0.0000 3.9848
3.9848 3.9848 0.0000
Li Ga Sb
1 4 1
Cartesian
0.0000 0.0000 0.0000 Li
2.9825 2.9825 2.9825 Ga
4.9872 4.9872 2.9825 Ga
4.9872 2.9825 4.9872 Ga
2.9825 4.9872 4.9872 Ga
5.9772 5.9772 5.9772 Sb
```

=====

# 4
Compound: In4BiPbS8
Source: Alexandria via LeMat-Bulk
Functional: GGA-PBE
Structure: relaxed

## Properties
- ΔE_f (raw) (kJ per mole of atoms) = -44.0
- space-group type = R3m, No. 160

```
In4BiPbS8
1.0
3.9802 2.2979 6.8413
-3.9802 2.2979 6.8413
0.0000 -4.5959 6.8413
In Bi Pb S
4 1 1 8
Cartesian
0.0000 0.0000 0.0000 In
0.0000 -2.3026 11.0853 In
-1.9941 1.1513 11.0853 In
1.9941 1.1513 11.0853 In
0.0000 0.0000 7.7076 Bi
0.0000 0.0000 15.2508 Pb
0.0000 -2.1721 5.7662 S
-1.8811 1.0861 5.7662 S
0.0000 0.0000 2.8185 S
-1.8053 -1.0423 9.5668 S
1.8811 1.0861 5.7662 S
0.0000 0.0000 12.3765 S
1.8053 -1.0423 9.5668 S
0.0000 2.0846 9.5668 S
```

=====

# 5
Compound: In4SnI6
Source: Alexandria via LeMat-Bulk
Functional: GGA-PBE
Structure: relaxed

## Properties
- ΔE_f (raw) (kJ per mole of atoms) = -44.0
- space-group type = P4/mnc, No. 128

```
In4SnI6
1.0
9.2826 0.0000 0.0000
0.0000 9.2826 0.0000
0.0000 0.0000 10.2336
In Sn I
8 2 12
Cartesian
1.4706 3.1708 2.5584 In
1.4706 3.1708 7.6752 In
3.1708 7.8121 2.5584 In
3.1708 7.8121 7.6752 In
6.1119 1.4706 2.5584 In
6.1119 1.4706 7.6752 In
7.8121 6.1119 2.5584 In
7.8121 6.1119 7.6752 In
0.0000 0.0000 0.0000 Sn
4.6413 4.6413 5.1168 Sn
0.0000 0.0000 3.1224 I
0.0000 0.0000 7.1112 I
1.3048 6.3668 0.0000 I
1.7255 5.9461 5.1168 I
2.9158 1.3048 0.0000 I
3.3365 1.7255 5.1168 I
4.6413 4.6413 1.9944 I
4.6413 4.6413 8.2392 I
5.9461 7.5571 5.1168 I
6.3668 7.9778 0.0000 I
7.5571 3.3365 5.1168 I
7.9778 2.9158 0.0000 I
```

=====

# 6
Compound: SmDyY5Tm2
Source: Alexandria via LeMat-Bulk
Functional: GGA-PBE
Structure: relaxed

## Properties
- energy of formation (meV/atom) = 159
- space-group type = Cmc2_1, No. 36

```
SmDyY5Tm2
1.0
2.8033 -10.0489 0.0000
2.8033 10.0489 0.0000
0.0000 0.0000 10.4792
Sm Dy Y Tm
2 2 10 4
Cartesian
2.8033 6.1045 5.2396 Sm
2.8033 -6.1045 0.0000 Sm
2.8033 1.7537 9.7981 Dy
2.8033 -1.7537 4.5585 Dy
2.8033 9.7251 5.3249 Y
2.8033 4.4605 8.3953 Y
2.8033 4.0051 1.9989 Y
2.8033 2.2436 5.3514 Y
2.8033 0.4358 2.3372 Y
2.8033 -0.4358 7.5768 Y
2.8033 -2.2436 0.1118 Y
2.8033 -4.0051 7.2385 Y
2.8033 -4.4605 3.1556 Y
2.8033 -9.7251 0.0853 Y
2.8033 7.8268 2.3304 Tm
2.8033 7.7884 8.4198 Tm
2.8033 -7.7884 3.1802 Tm
2.8033 -7.8268 7.5700 Tm
```

=====

Total magnetization (μB per cell)
0.0, 0.0, 0.0, 0.0, 0.0, 0.0
Energy (eV per atom)
-4.711, -6.285, -3.041, -4.139, -2.661, -5.461
Calculated density (g/cm3)
11.1, 8.8, 5.3, 5.0, 5.0, 6.2